Entry 1:
Computed, not measured: an optimized crystal structure of CaTmGaHg at the GGA-PBE level of DFT.

Results
Space group: F-43m (216)
Crystal system: cubic

Lattice parameters (Å, degrees): 5.180 5.180 5.180 60.00 60.00 60.00
Atoms (fractional coordinates):
Ca  0.000  0.000  0.000
Tm  0.500  0.500  0.500
Ga  0.750  0.750  0.750
Hg  0.250  0.250  0.250

Entry 2:
Computed, not measured: an optimized crystal structure of CaTmGaHg at the GGA-PBE level of DFT.

Results
Space group: P4mm (99)
Crystal system: tetragonal

Lattice parameters (Å, degrees): 3.592 3.592 7.612 90.00 90.00 90.00
Atoms (fractional coordinates):
Ca  0.000  0.000  0.000
Tm  0.000  0.000  0.478
Ga  0.500  0.500  0.254
Hg  0.500  0.500  0.728

Entry 3:
Computed, not measured: an optimized crystal structure of CaV2GaHg at the GGA-PBE level of DFT.

Results
Space group: P4/mmm (123)
Crystal system: tetragonal

Lattice parameters (Å, degrees): 4.597 4.597 5.370 90.00 90.00 90.00
Atoms (fractional coordinates):
Ca  0.000  0.000  0.000
V  0.000  0.500  0.000
V  0.500  0.000  0.000
Ga  0.500  0.500  0.500
Hg  0.000  0.000  0.500

no.,energy relative to the elements (kJ/mol of formula units)
1,-193
2,-200
3,918